NbPtW: optimized geometry, PBE.

Cell and atoms, written as POSCAR:
```
NbPtW
1.0
3.7910 0.0000 0.0000
0.0000 3.7910 0.0000
0.0000 0.0000 7.2764
Nb Pt W
2 2 2
Direct
0.2500 0.2500 0.1427 Nb
0.7500 0.7500 0.8573 Nb
0.2500 0.2500 0.7826 Pt
0.7500 0.7500 0.2174 Pt
0.2500 0.7500 0.5000 W
0.7500 0.2500 0.5000 W
```

## Properties
Formation enthalpy at 0 K, eV per atom: -0.114
Energy relative to the lowest polymorph listed for this composition, meV/atom: 0.0
Crystal system: tetragonal
Final energy, eV per atom: -9.80